Below is a geometry-optimized BaCr2F structure, with properties calculated at the PBE+U level. Values from VASP.

Quantum ESPRESSO input file:
```
&SYSTEM
  ibrav = 0, nat = 8, ntyp = 3
/
ATOMIC_SPECIES
Ba 137.33 Ba.upf
Cr 52.00 Cr.upf
F 19.00 F.upf
ATOMIC_POSITIONS crystal
Ba 0.375 0.625 0.750
Ba 0.625 0.375 0.250
Cr 0.000 0.000 0.000
Cr 0.000 0.000 0.500
Cr 0.000 0.500 0.000
Cr 0.500 0.000 0.500
F 0.125 0.875 0.250
F 0.875 0.125 0.750
CELL_PARAMETERS angstrom
-3.459 3.459 4.903
3.459 -3.459 4.903
3.459 3.459 -4.903
```

Values from the calculation:
Symmetry: I4_1/amd, No. 141
DOS at the Fermi energy (states/eV/f.u.): 3.32
Relative energy among the computed polymorphs (meV per atom): 0
V (Å³/atom): 29.33
Total magnetization (μB per formula unit): 8.1